First-principles (PBE) data for an optimized crystal structure of Rb3PaSn2O9, as listed in the Alexandria database.

The value obtained for the volume is 15.6 A^3/atom. The value obtained for the energy relative to the elements, uncorrected is -1894 meV per atom.

The structure belongs to space group P-3m1 (No. 164); the cell edges are 6.0354, 6.0354 and 7.3960 Å and the angles 90.00°, 90.00° and 120.00°. The asymmetric unit holds Rb at (0.0000, 0.0000, 0.0000), Rb at (0.3333, 0.6667, 0.6710), Pa at (0.0000, 0.0000, 0.5000), Sn at (0.3333, 0.6667, 0.1643), O at (0.0000, 0.5000, 0.0000) and O at (0.1692, 0.3385, 0.3281).

First-principles (PBE) data for an optimized crystal structure of Cs4Sb2S5, as listed in the Alexandria database.

The value obtained for the volume is 42.0 A^3/atom. The value obtained for the energy relative to the elements, uncorrected is -890 meV per atom.

The structure belongs to space group Cm (No. 8); the cell edges are 11.691, 8.285 and 9.865 Å and the angles 90.00°, 104.62° and 90.00°. The asymmetric unit holds Cs at (0.000, 0.000, 0.000), Cs at (0.082, 0.500, 0.061), Cs at (0.200, 0.500, 0.624), Cs at (0.327, 0.000, 0.284), Sb at (0.247, 0.000, 0.771), Sb at (0.480, 0.500, 0.396), S at (0.025, 0.000, 0.659), S at (0.087, 0.229, 0.341) and S at (0.260, 0.223, 0.931).

First-principles (PBE) data for an optimized crystal structure of ZrPaGaMo, as listed in the Alexandria database.

The value obtained for the volume is 20.5 A^3/atom. The energy of formation from the pure elements is -21 kJ/mol of formula units.

The structure belongs to space group F-43m (No. 216); the cell edges are 6.893, 6.893 and 6.893 Å and the angles 90.00°, 90.00° and 90.00°. The asymmetric unit holds Zr at (0.000, 0.000, 0.000), Pa at (0.000, 0.000, 0.500), Ga at (0.250, 0.250, 0.250) and Mo at (0.250, 0.250, 0.750).

First-principles (PBE) data for an optimized crystal structure of SmY6In2, as listed in the Alexandria database.

The value obtained for the volume is 30.6 A^3/atom. The energy of formation from the pure elements is -190 kJ/mol of formula units.

The structure belongs to space group C2/m (No. 12); the cell edges are 12.783, 3.764 and 12.028 Å and the angles 90.00°, 107.76° and 90.00°. The asymmetric unit holds Sm at (0.000, 0.000, 0.000), Y at (0.015, 0.000, 0.343), Y at (0.186, 0.500, 0.875), Y at (0.191, 0.500, 0.585) and In at (0.144, 0.500, 0.210).

First-principles (PBE) data for an optimized crystal structure of Ca2CeThAs4, as listed in the Alexandria database.

The value obtained for the volume is 27.3 A^3/atom. The energy of formation from the pure elements is -1025 kJ/mol of formula units.

The structure belongs to space group P2/m (No. 10); the cell edges are 7.296, 4.284 and 7.417 Å and the angles 90.00°, 109.82° and 90.00°. The asymmetric unit holds Ca at (0.000, 0.000, 0.000), Ca at (0.000, 0.500, 0.500), Ce at (0.500, 0.000, 0.500), Th at (0.500, 0.500, 0.000), As at (0.261, 0.000, 0.751) and As at (0.264, 0.500, 0.258).

First-principles (PBE) data for an optimized crystal structure of Ca3Ga3Cu8, as listed in the Alexandria database.

The value obtained for the volume is 17.0 A^3/atom. The energy of formation from the pure elements is -296 kJ/mol of formula units.

The structure belongs to space group C2/m (No. 12); the cell edges are 15.171, 4.261 and 8.921 Å and the angles 90.00°, 124.53° and 90.00°. The asymmetric unit holds Ca at (0.000, 0.000, 0.000), Ca at (0.196, 0.500, 0.683), Ga at (0.000, 0.000, 0.500), Ga at (0.173, 0.500, 0.021), Cu at (0.001, 0.500, 0.703), Cu at (0.122, 0.000, 0.398), Cu at (0.123, 0.000, 0.838) and Cu at (0.169, 0.500, 0.309).

First-principles (PBE) data for an optimized crystal structure of ZnSeO4, as listed in the Alexandria database.

The value obtained for the volume is 12.1 A^3/atom. The value obtained for the energy relative to the elements, uncorrected is -806 meV per atom.

The structure belongs to space group Imma (No. 74); the cell edges are 5.658, 6.887 and 7.421 Å and the angles 90.00°, 90.00° and 90.00°. The asymmetric unit holds Zn at (0.000, 0.000, 0.000), Se at (0.000, 0.250, 0.396), O at (0.000, 0.045, 0.277) and O at (0.247, 0.250, 0.979).

First-principles (PBE) data for an optimized crystal structure of CuPBrCl2, as listed in the Alexandria database.

The value obtained for the volume is 21.2 A^3/atom. The value obtained for the energy relative to the elements, uncorrected is 300 meV per atom. As for the energy above the most stable polymorph in this dataset: 4.07 kJ per mole of atoms.

The structure belongs to space group P4/mmm (No. 123); the cell edges are 4.467, 4.467 and 5.303 Å and the angles 90.00°, 90.00° and 90.00°. The asymmetric unit holds Cu at (0.000, 0.000, 0.000), P at (0.000, 0.000, 0.500), Br at (0.500, 0.500, 0.500) and Cl at (0.000, 0.500, 0.000).

Please write out number 2 again, unchanged.
First-principles (PBE) data for an optimized crystal structure of Cs4Sb2S5, as listed in the Alexandria database.

The value obtained for the volume is 42.0 A^3/atom. The value obtained for the energy relative to the elements, uncorrected is -890 meV per atom.

The structure belongs to space group Cm (No. 8); the cell edges are 11.691, 8.285 and 9.865 Å and the angles 90.00°, 104.62° and 90.00°. The asymmetric unit holds Cs at (0.000, 0.000, 0.000), Cs at (0.082, 0.500, 0.061), Cs at (0.200, 0.500, 0.624), Cs at (0.327, 0.000, 0.284), Sb at (0.247, 0.000, 0.771), Sb at (0.480, 0.500, 0.396), S at (0.025, 0.000, 0.659), S at (0.087, 0.229, 0.341) and S at (0.260, 0.223, 0.931).